# TiMnF2 | Alexandria via LeMat-Bulk | GGA+U | relaxed
# uncorrected energy = -6.237 eV per atom
# crystal system = trigonal
# SG = No. 166
data_TiMnF2
_cell_length_a 6.5017
_cell_length_b 6.5017
_cell_length_c 6.5017
_cell_angle_alpha 30.56
_cell_angle_beta 30.56
_cell_angle_gamma 30.56
_space_group_name_H-M_alt 'P 1'
_space_group_IT_number 1
loop_
_space_group_symop_operation_xyz
'x,y,z'
loop_
_atom_site_label
_atom_site_type_symbol
_atom_site_fract_x
_atom_site_fract_y
_atom_site_fract_z
Ti1 Ti 0.0000 0.0000 0.0000
Mn1 Mn 0.5000 0.5000 0.5000
F1 F 0.1157 0.1157 0.1157
F2 F 0.8843 0.8843 0.8843